Density functional theory data (GGA-PBE) for crystalline Ba2Cu2Pd15 at its relaxed geometry.

Calculated values
size of the total moment	0.001	Bohr magnetons per cell
formation energy from the elements	-178	meV/atom

Lattice parameters (Å, degrees): 9.3534 9.3534 13.6665 90.00 90.00 120.00
Space group R-3m (No. 166, hexagonal axes)
Unique sites:
Ba  0.0000  0.0000  0.1595 [6 per cell]
Cu  0.0000  0.0000  0.4091 [6 per cell]
Pd  0.0000  0.2906  0.5000 [18 per cell]
Pd  0.0000  0.5000  0.0000 [9 per cell]
Pd  0.0050  0.5025  0.3446 [18 per cell]


Density functional theory data (GGA-PBE) for crystalline GeSN at its relaxed geometry.

Calculated values
excess energy over the best structure of this formula in the dataset	337	meV/atom
E_form (uncorrected)	0.4023	eV per atom
size of the total moment	0.000	Bohr magnetons per cell

Lattice parameters (Å, degrees): 7.8407 4.6647 3.2314 90.00 112.86 90.00
Space group Cm (No. 8)
Unique sites:
Ge  0.0000  0.0000  0.0000 [2 per cell]
S  0.3779  0.0000  0.9668 [2 per cell]
N  0.1517  0.0000  0.6432 [2 per cell]


Density functional theory data (GGA-PBE) for crystalline Al3TlF at its relaxed geometry.

Calculated values
excess energy over the best structure of this formula in the dataset	0	meV/atom
E_form (uncorrected)	-0.1644	eV per atom
size of the total moment	0.000	Bohr magnetons per cell

Lattice parameters (Å, degrees): 4.6468 4.6468 4.6468 90.00 90.00 90.00
Space group Pm-3m (No. 221)
Unique sites:
Al  0.0000  0.0000  0.5000 [3 per cell]
Tl  0.5000  0.5000  0.5000 [1 per cell]
F  0.0000  0.0000  0.0000 [1 per cell]


Density functional theory data (GGA-PBE) for crystalline Tl2In2F7 at its relaxed geometry.

Calculated values
E_form (uncorrected)	-2.1162	eV per atom
size of the total moment	0.000	Bohr magnetons per cell

Lattice parameters (Å, degrees): 7.3375 8.3066 6.3971 90.00 90.00 90.00
Space group Cmmm (No. 65)
Unique sites:
Tl  0.2286  0.0000  0.0000 [4 per cell]
In  0.0000  0.2736  0.5000 [4 per cell]
F  0.0000  0.0000  0.5000 [2 per cell]
F  0.0000  0.5000  0.2954 [4 per cell]
F  0.2500  0.2500  0.2929 [8 per cell]


Density functional theory data (GGA-PBE) for crystalline PuHfTlO6 at its relaxed geometry.

Calculated values
E_form (uncorrected)	-2.3980	eV per atom
size of the total moment	1.999	Bohr magnetons per cell

Lattice parameters (Å, degrees): 5.6020 5.6020 12.0979 90.00 90.00 120.00
Space group P-31c (No. 163)
Unique sites:
Pu  0.3333  0.6667  0.2500 [2 per cell]
Hf  0.3333  0.6667  0.7500 [2 per cell]
Tl  0.0000  0.0000  0.0000 [2 per cell]
O  0.0098  0.3867  0.1598 [12 per cell]


Density functional theory data (GGA-PBE) for crystalline SrSmAlAu at its relaxed geometry.

Calculated values
size of the total moment	0.000	Bohr magnetons per cell
formation energy from the elements	-411	meV/atom

Lattice parameters (Å, degrees): 7.5631 7.5631 7.5631 90.00 90.00 90.00
Space group F-43m (No. 216)
Unique sites:
Sr  0.0000  0.0000  0.0000 [4 per cell]
Sm  0.0000  0.0000  0.5000 [4 per cell]
Al  0.2500  0.2500  0.7500 [4 per cell]
Au  0.2500  0.2500  0.2500 [4 per cell]


Density functional theory data (GGA-PBE) for crystalline Tb2TmS2O2 at its relaxed geometry.

Calculated values
E_form (uncorrected)	-2.4141	eV per atom
size of the total moment	0.000	Bohr magnetons per cell

Lattice parameters (Å, degrees): 4.1889 4.1889 14.6134 90.00 90.00 90.00
Space group I4/mmm (No. 139)
Unique sites:
Tb  0.0000  0.0000  0.1331 [4 per cell]
Tm  0.0000  0.0000  0.5000 [2 per cell]
S  0.0000  0.0000  0.3194 [4 per cell]
O  0.0000  0.5000  0.0000 [4 per cell]


Density functional theory data (GGA-PBE) for crystalline TbCe2Co at its relaxed geometry.

Calculated values
excess energy over the best structure of this formula in the dataset	432	meV/atom
size of the total moment	2.159	Bohr magnetons per cell
formation energy from the elements	303	meV/atom

Lattice parameters (Å, degrees): 5.4468 5.4468 11.1744 90.00 90.00 120.00
Space group R-3m (No. 166, hexagonal axes)
Unique sites:
Tb  0.0000  0.0000  0.0000 [3 per cell]
Ce  0.0000  0.0000  0.2814 [6 per cell]
Co  0.0000  0.0000  0.5000 [3 per cell]


Density functional theory data (GGA-PBE) for crystalline CaMnSn2 at its relaxed geometry.

Calculated values
size of the total moment	0.000	Bohr magnetons per cell
formation energy from the elements	220	meV/atom

Lattice parameters (Å, degrees): 6.7643 6.7643 6.7643 90.00 90.00 90.00
Space group Fm-3m (No. 225)
Unique sites:
Ca  0.0000  0.0000  0.0000 [4 per cell]
Mn  0.0000  0.0000  0.5000 [4 per cell]
Sn  0.2500  0.2500  0.2500 [8 per cell]


Density functional theory data (GGA-PBE) for crystalline GaAg5Au8 at its relaxed geometry.

Calculated values
size of the total moment	0.000	Bohr magnetons per cell
formation energy from the elements	30	meV/atom

Lattice parameters (Å, degrees): 8.0420 8.0420 8.1993 90.00 90.00 90.00
Space group I-4 (No. 82)
Unique sites:
Ga  0.0000  0.0000  0.0000 [2 per cell]
Ag  0.0000  0.5000  0.7500 [2 per cell]
Ag  0.1123  0.7964  0.4184 [8 per cell]
Au  0.0667  0.6662  0.0793 [8 per cell]
Au  0.1073  0.8275  0.7593 [8 per cell]


Density functional theory data (GGA-PBE) for crystalline CaTiSn2Pd at its relaxed geometry.

Calculated values
size of the total moment	0.000	Bohr magnetons per cell
formation energy from the elements	983	meV/atom

Lattice parameters (Å, degrees): 5.5286 5.5286 4.7394 90.00 90.00 90.00
Space group P4/mmm (No. 123)
Unique sites:
Ca  0.0000  0.0000  0.0000 [1 per cell]
Ti  0.5000  0.5000  0.5000 [1 per cell]
Sn  0.0000  0.5000  0.0000 [2 per cell]
Pd  0.0000  0.0000  0.5000 [1 per cell]


Density functional theory data (GGA-PBE) for crystalline Y8BTe4S3 at its relaxed geometry.

Calculated values
E_form (uncorrected)	-1.5097	eV per atom
size of the total moment	0.000	Bohr magnetons per cell

Lattice parameters (Å, degrees): 8.1117 8.1117 21.1054 90.00 90.00 120.00
Space group R-3m (No. 166, hexagonal axes)
Unique sites:
Y  0.0000  0.0000  0.2353 [6 per cell]
Y  0.0210  0.5105  0.2341 [18 per cell]
B  0.0000  0.0000  0.5000 [3 per cell]
Te  0.0000  0.0000  0.0000 [3 per cell]
Te  0.0000  0.5000  0.0000 [9 per cell]
S  0.0000  0.5000  0.5000 [9 per cell]


no.,VASP energy (eV per atom)
1,-4.91
2,-5.29
3,-3.26
4,-4.24
5,-8.66
6,-3.77
7,-6.97
8,-5.60
9,-4.57
10,-3.08
11,-3.64
12,-6.72